Record 1
Entry from Alexandria via LeMat-Bulk: a relaxed KTlCoF6 crystal (PBE+U).

It has space group P-31c (No. 163), with a = 5.9299 Å, b = 5.9299 Å, c = 10.0664 Å, α = 90.00°, β = 90.00° and γ = 120.00°. Symmetry generates all atoms from K at (0.0000, 0.0000, 0.0000), Tl at (0.3333, 0.6667, 0.2500), Co at (0.3333, 0.6667, 0.7500) and F at (0.0732, 0.4091, 0.6446).

The density of states at the Fermi level is 3.56 states/eV/f.u. The total DFT energy (no corrections) comes out at -76.16 eV for the cell shown. Its magnetization is 0.0840 μB per atom.



Record 2
Entry from Alexandria via LeMat-Bulk: a relaxed K3TlCo2F9 crystal (PBE+U).

It has space group P-3m1 (No. 164), with a = 6.0047 Å, b = 6.0047 Å, c = 7.7558 Å, α = 90.00°, β = 90.00° and γ = 120.00°. Symmetry generates all atoms from K at (0.0000, 0.0000, 0.0000), K at (0.3333, 0.6667, 0.7040), Tl at (0.0000, 0.0000, 0.5000), Co at (0.3333, 0.6667, 0.1512), F at (0.0000, 0.5000, 0.0000) and F at (0.1751, 0.3501, 0.3005).

The density of states at the Fermi level is 2.44 states/eV/f.u. The total DFT energy (no corrections) comes out at -67.58 eV for the cell shown. Its magnetization is 0.3412 μB per atom.



Record 3
Entry from Alexandria via LeMat-Bulk: a relaxed K2Tl2CoF6 crystal (PBE+U).

It has space group C2/m (No. 12), with a = 6.581 Å, b = 10.901 Å, c = 6.462 Å, α = 90.00°, β = 105.46° and γ = 90.00°. Symmetry generates all atoms from K at (0.000, 0.157, 0.000), Tl at (0.000, 0.331, 0.500), Co at (0.000, 0.500, 0.000), F at (0.184, 0.363, 0.178) and F at (0.192, 0.500, 0.775).

The density of states at the Fermi level is 0.00 states/eV/f.u. The total DFT energy (no corrections) comes out at -95.01 eV for the cell shown. Its magnetization is 0.2727 μB per atom.



Record 4
Entry from Alexandria via LeMat-Bulk: a relaxed KTl2Co2F7 crystal (PBE+U).

It has space group C2/m (No. 12), with a = 5.894 Å, b = 5.879 Å, c = 11.565 Å, α = 90.00°, β = 104.67° and γ = 90.00°. Symmetry generates all atoms from K at (0.000, 0.000, 0.000), Tl at (0.184, 0.000, 0.368), Co at (0.091, 0.500, 0.184), F at (0.000, 0.500, 0.000), F at (0.161, 0.250, 0.819) and F at (0.181, 0.500, 0.366).

The density of states at the Fermi level is 0.00 states/eV/f.u. The total DFT energy (no corrections) comes out at -109.78 eV for the cell shown. Its magnetization is 0.5001 μB per atom.



Per-record theoretical density, Mg/m³: 4.51 4.19 4.91 5.99